Record 1
Material: Er2TmPuO8
Method: DFT, PBE
State: relaxed

The space group is Cmmm (No. 65) and the conventional cell measures 7.0678, 7.2051 and 6.8824 Å, with angles of 90.00, 90.00 and 90.00 degrees. The inequivalent atoms are Er at (0.0000, 0.0000, 0.2393), Tm at (0.0000, 0.5000, 0.0000), Pu at (0.0000, 0.5000, 0.5000), O at (0.0000, 0.3157, 0.2749), O at (0.1938, 0.0000, 0.0000) and O at (0.2175, 0.0000, 0.5000).

The value obtained for the uncorrected formation energy is -3.122 eV/atom. The calculation puts the size of the total moment at 0.0826 μB/atom.

***

Record 2
Material: RbFe2CuBr8
Method: DFT, PBE
State: relaxed

The space group is C2/m (No. 12) and the conventional cell measures 10.9466, 7.6253 and 10.0081 Å, with angles of 90.00, 98.39 and 90.00 degrees. The inequivalent atoms are Rb at (0.0000, 0.0000, 0.0000), Fe at (0.1148, 0.5000, 0.2896), Cu at (0.0000, 0.0000, 0.5000), Br at (0.0135, 0.2494, 0.6999), Br at (0.1882, 0.5000, 0.0801) and Br at (0.2325, 0.0000, 0.5161).

The value obtained for the uncorrected formation energy is -0.664 eV/atom. The calculation puts the size of the total moment at 0.8365 μB/atom.

***

Record 3
Material: GePbBr2
Method: DFT, PBE
State: relaxed

The space group is Fm-3m (No. 225) and the conventional cell measures 7.5699, 7.5699 and 7.5699 Å, with angles of 90.00, 90.00 and 90.00 degrees. The inequivalent atoms are Ge at (0.0000, 0.0000, 0.0000), Pb at (0.0000, 0.0000, 0.5000) and Br at (0.2500, 0.2500, 0.2500).

The value obtained for the uncorrected formation energy is -0.014 eV/atom. The calculation puts the size of the total moment at 0.0000 μB/atom. As for the relative energy among the computed polymorphs: 156 meV/atom.

***

Record 4
Material: LaMgCl
Method: DFT, PBE
State: relaxed

The space group is P-6m2 (No. 187) and the conventional cell measures 4.9907, 4.9907 and 4.2806 Å, with angles of 90.00, 90.00 and 120.00 degrees. The inequivalent atoms are La at (0.0000, 0.0000, 0.0000), Mg at (0.6667, 0.3333, 0.5000) and Cl at (0.3333, 0.6667, 0.0000).

The value obtained for the uncorrected formation energy is -0.682 eV/atom. The calculation puts the size of the total moment at 0.0000 μB/atom. As for the relative energy among the computed polymorphs: 319 meV/atom.

***

Record 5
Material: CaSc2Fe
Method: DFT, PBE
State: relaxed

The space group is P4/mmm (No. 123) and the conventional cell measures 3.1883, 3.1883 and 9.0094 Å, with angles of 90.00, 90.00 and 90.00 degrees. The inequivalent atoms are Ca at (0.0000, 0.0000, 0.0000), Sc at (0.5000, 0.5000, 0.3357) and Fe at (0.0000, 0.0000, 0.5000).

As for the formation energy: -0.002 eV/atom. The calculation puts the size of the total moment at 0.0000 μB/atom. As for the relative energy among the computed polymorphs: 0 meV/atom.

***

Record 6
Material: Nd2AlGa3Ir4
Method: DFT, PBE
State: relaxed

The space group is P-4m2 (No. 115) and the conventional cell measures 4.2710, 4.2710 and 10.3469 Å, with angles of 90.00, 90.00 and 90.00 degrees. The inequivalent atoms are Nd at (0.0000, 0.5000, 0.2379), Al at (0.0000, 0.0000, 0.5000), Ga at (0.0000, 0.5000, 0.8734), Ga at (0.5000, 0.5000, 0.5000), Ir at (0.0000, 0.0000, 0.0000), Ir at (0.0000, 0.5000, 0.6314) and Ir at (0.5000, 0.5000, 0.0000).

As for the formation energy: -0.750 eV/atom. The calculation puts the size of the total moment at 0.0000 μB/atom.

***

Record 7
Material: Ir12OsRh3
Method: DFT, PBE
State: relaxed

The space group is P4/mmm (No. 123) and the conventional cell measures 3.8631, 3.8631 and 15.4844 Å, with angles of 90.00, 90.00 and 90.00 degrees. The inequivalent atoms are Ir at (0.0000, 0.0000, 0.0000), Ir at (0.0000, 0.0000, 0.2493), Ir at (0.0000, 0.0000, 0.5000), Ir at (0.0000, 0.5000, 0.1235), Ir at (0.0000, 0.5000, 0.3751), Os at (0.5000, 0.5000, 0.0000), Rh at (0.5000, 0.5000, 0.2519) and Rh at (0.5000, 0.5000, 0.5000).

As for the formation energy: -0.011 eV/atom. The calculation puts the size of the total moment at 0.0000 μB/atom.

***

Record 8
Material: Ag2Hg7As4I6
Method: DFT, PBE
State: relaxed

The space group is Pa-3 (No. 205) and the conventional cell measures 13.5259, 13.5259 and 13.5259 Å, with angles of 90.00, 90.00 and 90.00 degrees. The inequivalent atoms are Ag at (0.2161, 0.2161, 0.2161), Hg at (0.0000, 0.0000, 0.5000), Hg at (0.0533, 0.7100, 0.4175), As at (0.0524, 0.0524, 0.0524), As at (0.1099, 0.6099, 0.8901) and I at (0.0561, 0.2478, 0.8364).

The value obtained for the uncorrected formation energy is -0.160 eV/atom. The calculation puts the size of the total moment at 0.0000 μB/atom.

***

Record 9
Material: TaAgS2N
Method: DFT, PBE
State: relaxed

The space group is P4/mmm (No. 123) and the conventional cell measures 4.9033, 4.9033 and 3.9756 Å, with angles of 90.00, 90.00 and 90.00 degrees. The inequivalent atoms are Ta at (0.0000, 0.0000, 0.0000), Ag at (0.5000, 0.5000, 0.5000), S at (0.0000, 0.5000, 0.0000) and N at (0.0000, 0.0000, 0.5000).

The value obtained for the uncorrected formation energy is -0.022 eV/atom. The calculation puts the size of the total moment at 0.1966 μB/atom. As for the relative energy among the computed polymorphs: 0 meV/atom.

***

Record 10
Material: AcErH
Method: DFT, PBE
State: relaxed

The space group is Pnma (No. 62) and the conventional cell measures 13.1180, 3.6010 and 6.4311 Å, with angles of 90.00, 90.00 and 90.00 degrees. The inequivalent atoms are Ac at (0.1807, 0.2500, 0.1808), Er at (0.0656, 0.2500, 0.6933) and H at (0.1469, 0.7500, 0.8711).

The calculation puts the size of the total moment at 0.0000 μB/atom. As for the relative energy among the computed polymorphs: 22 meV/atom.

***

Record 11
Material: Tm3InPt
Method: DFT, PBE
State: relaxed

The space group is Pmmn (No. 59, origin choice 2) and the conventional cell measures 4.7668, 6.7375 and 8.2770 Å, with angles of 90.00, 90.00 and 90.00 degrees. The inequivalent atoms are Tm at (0.2500, 0.0028, 0.1621), Tm at (0.2500, 0.7500, 0.5608), In at (0.2500, 0.2500, 0.6723) and Pt at (0.2500, 0.7500, 0.8945).

As for the formation energy: -0.700 eV/atom. The calculation puts the size of the total moment at 0.0000 μB/atom.

***

Record 12
Material: Pr8Er2Cd
Method: DFT, PBE
State: relaxed

The space group is C2/m (No. 12) and the conventional cell measures 11.4956, 5.1376 and 12.9156 Å, with angles of 90.00, 104.29 and 90.00 degrees. The inequivalent atoms are Pr at (0.0368, 0.0000, 0.3221), Pr at (0.0911, 0.5000, 0.1412), Pr at (0.1409, 0.0000, 0.9529), Pr at (0.2430, 0.0000, 0.5874), Er at (0.1845, 0.5000, 0.7619) and Cd at (0.0000, 0.5000, 0.5000).

As for the formation energy: -0.015 eV/atom. The calculation puts the size of the total moment at 0.0000 μB/atom. As for the relative energy among the computed polymorphs: 0 meV/atom.